Record 1
Below is an optimized crystal structure of SrV3Cu, with properties calculated at the PBE level.

Lattice parameters (Å, degrees): 4.831 4.831 4.831 90.00 90.00 90.00
Atoms (fractional coordinates):
Sr: 0.000 0.000 0.000
V: 0.000 0.500 0.500
V: 0.500 0.000 0.500
V: 0.500 0.500 0.000
Cu: 0.500 0.500 0.500

Summary:
- Formation energy from the elements: 1127 meV/atom

Record 2
Below is an optimized crystal structure of ScSb2Rh, with properties calculated at the PBE level.

Lattice parameters (Å, degrees): 4.852 4.852 3.417 90.00 90.00 90.00
Atoms (fractional coordinates):
Sc: 0.000 0.000 0.000
Sb: 0.000 0.500 0.500
Sb: 0.500 0.000 0.500
Rh: 0.500 0.500 0.000

Summary:
- Raw formation energy: -496 meV per atom

Record 3
Below is an optimized crystal structure of RbCrTeN2, with properties calculated at the PBE level.

Lattice parameters (Å, degrees): 4.213 4.213 5.536 90.00 90.00 90.00
Atoms (fractional coordinates):
Rb: 0.000 0.000 0.000
Cr: 0.500 0.500 0.500
Te: 0.500 0.500 0.000
N: 0.000 0.500 0.500
N: 0.500 0.000 0.500

Summary:
- Raw formation energy: 837 meV per atom

Record 4
Below is an optimized crystal structure of HgRuBr2, with properties calculated at the PBE level.

Lattice parameters (Å, degrees): 11.746 11.746 11.746 15.47 15.47 15.47
Atoms (fractional coordinates):
Hg: 0.000 0.000 0.000
Ru: 0.500 0.500 0.500
Br: 0.432 0.432 0.432
Br: 0.568 0.568 0.568

Summary:
- Raw formation energy: 387 meV per atom

| no. | magnetic moment (μB/f.u.) |
| --- | --- |
| 1 | 9.26 |
| 2 | 0.00 |
| 3 | 0.72 |
| 4 | 0.30 |